Record 1
Compound: Ca2Cu2O5
Source: Alexandria via LeMat-Bulk
Functional: PBE-GGA
Structure: optimized geometry

Calculated values
Total moment = 0.00 μB/f.u.
Crystal system = orthorhombic
E_tot = -5.7873 eV/atom

a = 3.5819 Å, b = 10.6001 Å, c = 12.7232 Å
α = 90.00°, β = 90.00°, γ = 90.00°
Element x y z (fractional)
1 Cu 0.3511 0.7378 0.2510
2 Cu 0.1537 0.5119 0.1538
3 Cu 0.1489 0.2378 0.2510
4 Cu 0.8463 0.4881 0.6538
5 Cu 0.6537 0.9881 0.6538
6 Cu 0.6489 0.2622 0.7510
7 Cu 0.8511 0.7622 0.7510
8 Cu 0.3463 0.0119 0.1538
9 O 0.1174 0.6244 0.7030
10 O 0.6760 0.9199 0.7899
11 O 0.3105 0.9404 0.0223
12 O 0.6685 0.3308 0.6145
13 O 0.1685 0.1692 0.1145
14 O 0.3123 0.8091 0.3822
15 O 0.8315 0.8308 0.6145
16 O 0.3315 0.6692 0.1145
17 O 0.6174 0.8756 0.2030
18 O 0.1761 0.5801 0.2899
19 O 0.8826 0.3756 0.2030
20 O 0.6877 0.1909 0.8822
21 O 0.8240 0.4199 0.7899
22 O 0.8123 0.6909 0.8822
23 O 0.8105 0.5596 0.5223
24 O 0.1877 0.3091 0.3822
25 O 0.3826 0.1244 0.7030
26 O 0.3240 0.0801 0.2899
27 O 0.1895 0.4404 0.0223
28 O 0.6895 0.0596 0.5223
29 Ca 0.1869 0.2028 0.5368
30 Ca 0.6869 0.2972 0.0368
31 Ca 0.1900 0.0481 0.8704
32 Ca 0.8100 0.9519 0.3704
33 Ca 0.8131 0.7972 0.0368
34 Ca 0.3131 0.7028 0.5368
35 Ca 0.6900 0.4519 0.3704
36 Ca 0.3100 0.5481 0.8704


Record 2
Compound: CaCu2O4
Source: Alexandria via LeMat-Bulk
Functional: PBE-GGA
Structure: optimized geometry

Calculated values
Total moment = 0.00 μB/f.u.
Crystal system = tetragonal
E_tot = -5.5939 eV/atom

a = 6.2675 Å, b = 6.2675 Å, c = 6.2675 Å
α = 125.01°, β = 125.01°, γ = 81.51°
Element x y z (fractional)
1 Ca 0.7500 0.2500 0.5000
2 Ca 0.0000 0.0000 0.0000
3 Cu 0.3750 0.6250 0.7500
4 Cu 0.3750 0.1250 0.7500
5 Cu 0.3750 0.6250 0.2500
6 Cu 0.8750 0.6250 0.2500
7 O 0.0238 0.9440 0.3688
8 O 0.6940 0.8252 0.4202
9 O 0.7262 0.3060 0.1312
10 O 0.4050 0.2738 0.5798
11 O 0.1748 0.5950 0.8688
12 O 0.0560 0.4248 0.0798
13 O 0.3450 0.9762 0.9202
14 O 0.5752 0.6550 0.6312


Record 3
Compound: Ca7Cu17O24
Source: Alexandria via LeMat-Bulk
Functional: PBE-GGA
Structure: optimized geometry

Calculated values
Total moment = 1.20 μB/f.u.
Crystal system = orthorhombic
E_tot = -5.4729 eV/atom

a = 3.6745 Å, b = 10.0180 Å, c = 16.2435 Å
α = 90.00°, β = 90.00°, γ = 90.00°
Element x y z (fractional)
1 Ca 0.3263 0.0000 0.3738
2 Ca 0.6331 0.5000 0.2557
3 Ca 0.6331 0.5000 0.7443
4 Ca 0.6429 0.5000 0.0000
5 Ca 0.3798 0.0000 0.8740
6 Ca 0.3263 0.0000 0.6262
7 Ca 0.3798 0.0000 0.1260
8 O 0.1103 0.6647 0.7426
9 O 0.1101 0.3328 0.0000
10 O 0.8828 0.8239 0.3767
11 O 0.1101 0.6672 0.0000
12 O 0.8828 0.8239 0.6233
13 O 0.5628 0.0000 0.5000
14 O 0.8828 0.1761 0.6233
15 O 0.6231 0.0000 0.7469
16 O 0.0043 0.3372 0.5000
17 O 0.9197 0.1705 0.1295
18 O 0.4101 0.5000 0.8725
19 O 0.1103 0.3353 0.7426
20 O 0.4101 0.5000 0.1275
21 O 0.8828 0.1761 0.3767
22 O 0.9197 0.8295 0.8705
23 O 0.0043 0.6628 0.5000
24 O 0.9197 0.1705 0.8705
25 O 0.9197 0.8295 0.1295
26 O 0.1103 0.6647 0.2574
27 O 0.4310 0.5000 0.6118
28 O 0.6231 0.0000 0.2531
29 O 0.1103 0.3353 0.2574
30 O 0.6288 0.0000 0.0000
31 O 0.4310 0.5000 0.3882
32 Cu 0.7985 0.8341 0.5000
33 Cu 0.1569 0.6616 0.8728
34 Cu 0.1569 0.6616 0.1272
35 Cu 0.1569 0.3384 0.1272
36 Cu 0.6392 0.5000 0.5000
37 Cu 0.1404 0.3440 0.6177
38 Cu 0.1569 0.3384 0.8728
39 Cu 0.1404 0.3440 0.3823
40 Cu 0.1404 0.6560 0.6177
41 Cu 0.8598 0.8334 0.7472
42 Cu 0.8598 0.1666 0.7472
43 Cu 0.8598 0.1666 0.2528
44 Cu 0.8715 0.1647 0.0000
45 Cu 0.1404 0.6560 0.3823
46 Cu 0.8715 0.8353 0.0000
47 Cu 0.8598 0.8334 0.2528
48 Cu 0.7985 0.1659 0.5000


Record 4
Compound: CaCu2O4
Source: Alexandria via LeMat-Bulk
Functional: PBE-GGA
Structure: optimized geometry

Calculated values
Total moment = 1.02 μB/f.u.
Crystal system = trigonal
E_tot = -5.3445 eV/atom

a = 6.3237 Å, b = 6.3237 Å, c = 6.3237 Å
α = 58.02°, β = 58.02°, γ = 58.02°
Element x y z (fractional)
1 O 0.6362 0.1754 0.6362
2 O 0.6463 0.6463 0.6463
3 O 0.1754 0.6362 0.6362
4 O 0.1251 0.5481 0.1251
5 O 0.6362 0.6362 0.1754
6 O 0.1251 0.1251 0.5481
7 O 0.1206 0.1206 0.1206
8 O 0.5481 0.1251 0.1251
9 Cu 0.8790 0.3688 0.3688
10 Cu 0.3688 0.3688 0.8790
11 Cu 0.3688 0.8790 0.3688
12 Cu 0.7646 0.7646 0.7646
13 Ca 0.3763 0.3763 0.3763
14 Ca 0.9795 0.9795 0.9795


Record 5
Compound: Ca2CuO3
Source: Alexandria via LeMat-Bulk
Functional: PBE-GGA
Structure: optimized geometry

Calculated values
Total moment = 0.00 μB/f.u.
Crystal system = orthorhombic
E_tot = -6.0071 eV/atom

a = 6.5932 Å, b = 6.5932 Å, c = 6.5932 Å
α = 151.11°, β = 146.22°, γ = 45.03°
Element x y z (fractional)
1 Ca 0.8508 0.3508 0.5000
2 Ca 0.1492 0.6492 0.5000
3 O 0.6606 0.1606 0.5000
4 O 0.0000 0.0000 0.0000
5 O 0.3394 0.8394 0.5000
6 Cu 0.5000 0.0000 0.5000


Record 6
Compound: Ca4Cu2O
Source: Alexandria via LeMat-Bulk
Functional: PBE-GGA
Structure: optimized geometry

Calculated values
Total moment = 0.00 μB/f.u.
Crystal system = tetragonal
E_tot = -3.6561 eV/atom

a = 4.5484 Å, b = 4.5484 Å, c = 9.0731 Å
α = 75.48°, β = 75.48°, γ = 90.00°
Element x y z (fractional)
1 Ca 0.3118 0.3118 0.3764
2 Ca 0.0000 0.5000 0.0000
3 Ca 0.5000 0.0000 0.0000
4 Ca 0.6882 0.6882 0.6236
5 Cu 0.1360 0.1360 0.7280
6 Cu 0.8640 0.8640 0.2720
7 O 0.0000 0.0000 0.0000


Record 7
Compound: Ca2Cu2O5
Source: Alexandria via LeMat-Bulk
Functional: PBE-GGA
Structure: optimized geometry

Calculated values
Total moment = 0.48 μB/f.u.
Crystal system = monoclinic
E_tot = -5.6521 eV/atom

a = 8.3611 Å, b = 8.3623 Å, c = 8.3743 Å
α = 142.49°, β = 141.48°, γ = 54.71°
Element x y z (fractional)
1 Cu 0.0009 0.0090 0.0107
2 Cu 0.3090 0.2154 0.0244
3 Cu 0.6855 0.7174 0.9030
4 Cu 0.5017 0.5099 0.0108
5 O 0.2682 0.2688 0.5112
6 O 0.7364 0.2445 0.0028
7 O 0.2583 0.7664 0.0025
8 O 0.6911 0.6694 0.0899
9 O 0.9206 0.8987 0.0898
10 O 0.6301 0.3697 0.4999
11 O 0.7424 0.7430 0.5113
12 O 0.0823 0.1580 0.9715
13 O 0.3137 0.3888 0.9713
14 O 0.3600 0.8643 0.7242
15 Ca 0.3747 0.8957 0.4842
16 Ca 0.9106 0.3923 0.5182
17 Ca 0.0885 0.6092 0.4839
18 Ca 0.6260 0.1076 0.5183


Record 8
Compound: CaCu2O4
Source: Alexandria via LeMat-Bulk
Functional: PBE-GGA
Structure: optimized geometry

Calculated values
Total moment = 0.00 μB/f.u.
Crystal system = orthorhombic
E_tot = -5.5670 eV/atom

a = 8.3347 Å, b = 4.0099 Å, c = 5.3107 Å
α = 90.00°, β = 90.00°, γ = 90.00°
Element x y z (fractional)
1 O 0.9806 0.4003 0.0000
2 O 0.2306 0.9999 0.9835
3 O 0.7306 0.0001 0.4835
4 O 0.4806 0.5997 0.5000
5 O 0.2306 0.9999 0.5165
6 O 0.4806 0.5997 0.0000
7 O 0.7306 0.0001 0.0165
8 O 0.9806 0.4003 0.5000
9 Cu 0.0899 0.1747 0.7500
10 Cu 0.3714 0.8252 0.7500
11 Cu 0.5899 0.8253 0.2500
12 Cu 0.8714 0.1748 0.2500
13 Ca 0.7306 0.5001 0.7500
14 Ca 0.2306 0.4999 0.2500